Entry 1:
{
  "formula": "PrP3Rh5",
  "functional": "PBE-GGA",
  "state": "relaxed",
  "cell": [[-0.506, 3.438, 1.792], [-3.138, -4.416, 3.320], [10.017, -2.044, 6.749]],
  "species": ["Pr", "P", "Rh", "Rh", "Rh", "P", "Rh", "Rh", "P", "P", "Rh", "Rh", "Pr", "Rh", "Rh", "P", "P", "Rh"],
  "fractional_positions": [[0.850, 0.701, 0.750], [0.610, 0.221, 0.044], [0.439, 0.879, 0.359], [0.000, 0.000, 0.500], [0.561, 0.121, 0.641], [0.610, 0.221, 0.456], [0.790, 0.579, 0.077], [0.790, 0.579, 0.423], [0.390, 0.779, 0.544], [0.116, 0.233, 0.750], [0.000, 0.000, 0.000], [0.210, 0.421, 0.577], [0.150, 0.299, 0.250], [0.561, 0.121, 0.859], [0.210, 0.421, 0.923], [0.884, 0.767, 0.250], [0.390, 0.779, 0.956], [0.439, 0.879, 0.141]],
  "e_tot_ev_per_cell": -130.77,
  "magmom_total_mub_per_atom": 0.000,
  "delta_e_f_mev_per_atom": -847,
  "space_group": "Cmcm, No. 63"
}

***

Entry 2:
{
  "formula": "PrP3Rh6",
  "functional": "PBE-GGA",
  "state": "relaxed",
  "cell": [[-2.918, -4.884, 0.001], [4.181, 0.830, -3.975], [3.319, 1.201, 6.023]],
  "species": ["P", "Pr", "Rh", "Rh", "P", "Rh", "P", "Rh", "Rh", "Rh"],
  "fractional_positions": [[0.331, 0.658, 0.986], [0.868, 0.901, 0.835], [0.793, 0.162, 0.246], [0.620, 0.576, 0.272], [0.294, 0.229, 0.359], [0.748, 0.312, 0.690], [0.647, 0.317, 0.982], [0.255, 0.797, 0.693], [0.200, 0.757, 0.248], [0.244, 0.291, 0.688]],
  "e_tot_ev_per_cell": -72.56,
  "magmom_total_mub_per_atom": 0.000,
  "delta_e_f_mev_per_atom": -744,
  "space_group": "P1, No. 1"
}

***

Entry 3:
{
  "formula": "PrPRh3",
  "functional": "PBE-GGA",
  "state": "relaxed",
  "cell": [[-2.508, 0.985, -3.102], [-3.200, -0.027, 2.578], [-2.100, 5.489, 0.723]],
  "species": ["P", "Rh", "Rh", "Rh", "Pr"],
  "fractional_positions": [[0.031, 0.835, 0.643], [0.136, 0.440, 0.433], [0.815, 0.619, 0.074], [0.636, 0.940, 0.433], [0.389, 0.192, 0.928]],
  "e_tot_ev_per_cell": -36.57,
  "magmom_total_mub_per_atom": 0.000,
  "delta_e_f_mev_per_atom": -866,
  "space_group": "I4mm, No. 107",
  "e_above_lowest_polymorph_ev_per_fu": 0.00
}

***

Entry 4:
{
  "formula": "PrP2Rh3",
  "functional": "PBE-GGA",
  "state": "relaxed",
  "cell": [[-0.475, 1.320, -3.674], [8.052, -1.664, 0.467], [-4.538, -8.313, -2.401]],
  "species": ["P", "Rh", "Rh", "Rh", "P", "P", "P", "Rh", "Rh", "P", "Rh", "Rh", "P", "Rh", "Pr", "Pr", "Rh", "Pr"],
  "fractional_positions": [[0.199, 0.398, 0.131], [0.677, 0.355, 0.957], [0.956, 0.912, 0.671], [0.044, 0.088, 0.329], [0.362, 0.725, 0.550], [0.638, 0.275, 0.450], [0.463, 0.927, 0.223], [0.323, 0.645, 0.043], [0.777, 0.555, 0.605], [0.537, 0.073, 0.777], [0.500, 0.000, 0.500], [0.371, 0.741, 0.791], [0.801, 0.602, 0.869], [0.629, 0.259, 0.209], [0.846, 0.692, 0.306], [0.000, 0.000, 0.000], [0.223, 0.445, 0.395], [0.154, 0.308, 0.694]],
  "e_tot_ev_per_cell": -131.38,
  "magmom_total_mub_per_atom": 0.000,
  "delta_e_f_mev_per_atom": -1023,
  "space_group": "C2/m, No. 12"
}

***

Entry 5:
{
  "formula": "PrP2Rh5",
  "functional": "PBE-GGA",
  "state": "relaxed",
  "cell": [[3.742, 0.000, 1.244], [1.406, 5.645, 2.022], [0.035, 0.413, 6.145]],
  "species": ["Rh", "Rh", "Pr", "Rh", "Rh", "P", "P", "Rh"],
  "fractional_positions": [[0.651, 0.149, 0.549], [0.651, 0.549, 0.149], [0.000, 0.000, 0.000], [0.349, 0.851, 0.451], [0.000, 0.500, 0.500], [0.759, 0.741, 0.741], [0.241, 0.259, 0.259], [0.349, 0.451, 0.851]],
  "e_tot_ev_per_cell": -58.99,
  "magmom_total_mub_per_atom": 0.000,
  "delta_e_f_mev_per_atom": -829,
  "space_group": "Immm, No. 71"
}

***

Entry 6:
{
  "formula": "Pr3P4Rh2",
  "functional": "PBE-GGA",
  "state": "relaxed",
  "cell": [[-1.697, 3.283, 1.783], [0.883, -4.494, 4.395], [6.900, 4.716, -2.119]],
  "species": ["Rh", "P", "P", "P", "Rh", "Pr", "P", "Pr", "Pr"],
  "fractional_positions": [[0.685, 0.370, 0.377], [0.311, 0.621, 0.897], [0.689, 0.379, 0.103], [0.904, 0.808, 0.604], [0.315, 0.630, 0.623], [0.630, 0.260, 0.723], [0.096, 0.192, 0.396], [0.000, 0.000, 0.000], [0.370, 0.740, 0.277]],
  "e_tot_ev_per_cell": -60.94,
  "magmom_total_mub_per_atom": 0.000,
  "delta_e_f_mev_per_atom": -1140,
  "space_group": "C2/m, No. 12"
}

***

Entry 7:
{
  "formula": "PrP2Rh2",
  "functional": "PBE-GGA",
  "state": "relaxed",
  "cell": [[-2.572, -0.562, -3.258], [2.848, -2.472, -1.822], [-3.849, -7.648, 4.359]],
  "species": ["P", "Rh", "Pr", "Pr", "P", "Rh", "P", "P", "Rh", "Rh"],
  "fractional_positions": [[0.000, 0.500, 0.862], [0.500, 0.500, 0.000], [0.500, 0.000, 0.742], [0.000, 0.500, 0.258], [0.500, 0.000, 0.138], [0.000, 0.000, 0.000], [0.500, 0.500, 0.500], [0.000, 0.000, 0.500], [0.500, 0.000, 0.388], [0.000, 0.500, 0.612]],
  "e_tot_ev_per_cell": -71.60,
  "magmom_total_mub_per_atom": 0.000,
  "delta_e_f_mev_per_atom": -1100,
  "space_group": "P4/nmm, No. 129"
}

***

Entry 8:
{
  "formula": "Pr3P3Rh2",
  "functional": "PBE-GGA",
  "state": "relaxed",
  "cell": [[-1.367, 0.506, -3.935], [-2.977, -4.266, 2.724], [-9.589, 9.607, 4.566]],
  "species": ["P", "P", "Pr", "P", "Pr", "Pr", "Pr", "Pr", "P", "P", "Rh", "Pr", "Rh", "P", "Rh", "Rh"],
  "fractional_positions": [[0.363, 0.726, 0.545], [0.637, 0.274, 0.455], [0.361, 0.723, 0.750], [0.363, 0.726, 0.955], [0.924, 0.848, 0.106], [0.924, 0.848, 0.394], [0.076, 0.152, 0.894], [0.639, 0.277, 0.250], [0.637, 0.274, 0.045], [0.339, 0.679, 0.250], [0.780, 0.560, 0.903], [0.076, 0.152, 0.606], [0.220, 0.440, 0.097], [0.661, 0.321, 0.750], [0.220, 0.440, 0.403], [0.780, 0.560, 0.597]],
  "e_tot_ev_per_cell": -108.40,
  "magmom_total_mub_per_atom": 0.000,
  "delta_e_f_mev_per_atom": -1116,
  "space_group": "Cmcm, No. 63"
}

***

Entry 9:
{
  "formula": "PrP2RuRh",
  "functional": "PBE-GGA",
  "state": "relaxed",
  "cell": [[-1.461, -2.176, -3.079], [-2.722, -1.676, 2.476], [-1.171, 5.637, -0.773]],
  "species": ["P", "Ru", "Pr", "Rh", "P"],
  "fractional_positions": [[0.622, 0.622, 0.245], [0.250, 0.750, 0.500], [0.000, 0.000, 0.000], [0.750, 0.250, 0.500], [0.378, 0.378, 0.755]],
  "e_tot_ev_per_cell": -37.31,
  "magmom_total_mub_per_atom": 0.000,
  "delta_e_f_mev_per_atom": -1018,
  "space_group": "I-4m2, No. 119"
}

***

Entry 10:
{
  "formula": "Pr2SbP3Rh4",
  "functional": "PBE-GGA",
  "state": "relaxed",
  "cell": [[-1.302, 3.914, -0.457], [-3.895, -1.205, 0.774], [1.510, 1.698, 10.235]],
  "species": ["Sb", "Rh", "P", "Rh", "Pr", "P", "P", "Rh", "Pr", "Rh"],
  "fractional_positions": [[0.500, 0.500, 0.500], [0.000, 0.000, 0.000], [0.500, 0.000, 0.870], [0.500, 0.500, 0.000], [0.000, 0.500, 0.763], [0.000, 0.000, 0.500], [0.000, 0.500, 0.130], [0.500, 0.000, 0.647], [0.500, 0.000, 0.237], [0.000, 0.500, 0.353]],
  "e_tot_ev_per_cell": -68.67,
  "magmom_total_mub_per_atom": 0.000,
  "space_group": "P-4m2, No. 115",
  "formation_energy_uncorrected_mev_per_atom": -936
}

***

Entry 11:
{
  "formula": "Pr2Sb3PRh4",
  "functional": "PBE-GGA",
  "state": "relaxed",
  "cell": [[4.475, 0.000, 0.000], [0.000, 4.475, 0.000], [0.000, 0.000, 10.328]],
  "species": ["Pr", "Sb", "P", "Rh", "Rh", "Pr", "Rh", "Sb", "Rh", "Sb"],
  "fractional_positions": [[0.000, 0.500, 0.739], [0.000, 0.500, 0.139], [0.500, 0.500, 0.500], [0.500, 0.000, 0.610], [0.500, 0.500, 0.000], [0.500, 0.000, 0.261], [0.000, 0.000, 0.000], [0.000, 0.000, 0.500], [0.000, 0.500, 0.390], [0.500, 0.000, 0.861]],
  "e_tot_ev_per_cell": -65.13,
  "magmom_total_mub_per_atom": 0.000,
  "space_group": "P-4m2, No. 115",
  "formation_energy_uncorrected_mev_per_atom": -839
}

***

Entry 12:
{
  "formula": "Pr2SbPRh6",
  "functional": "PBE-GGA",
  "state": "relaxed",
  "cell": [[5.841, 0.000, 0.000], [0.000, 7.697, 0.000], [0.000, 0.000, 8.774]],
  "species": ["Rh", "Rh", "Rh", "Rh", "Pr", "Sb", "P", "Rh", "Rh", "Pr", "Rh", "Rh", "Rh", "P", "Rh", "Rh", "Sb", "Rh", "Pr", "Pr"],
  "fractional_positions": [[0.240, 0.426, 0.500], [0.260, 0.574, 0.000], [0.000, 0.885, 0.752], [0.268, 0.992, 0.000], [0.500, 0.725, 0.729], [0.000, 0.706, 0.500], [0.000, 0.783, 0.000], [0.232, 0.008, 0.500], [0.500, 0.115, 0.748], [0.500, 0.725, 0.271], [0.760, 0.426, 0.500], [0.000, 0.885, 0.248], [0.740, 0.574, 0.000], [0.500, 0.217, 0.500], [0.732, 0.992, 0.000], [0.768, 0.008, 0.500], [0.500, 0.294, 0.000], [0.500, 0.115, 0.252], [0.000, 0.275, 0.771], [0.000, 0.275, 0.229]],
  "e_tot_ev_per_cell": -139.41,
  "magmom_total_mub_per_atom": 0.000,
  "space_group": "Pmmn, No. 59",
  "formation_energy_uncorrected_mev_per_atom": -650
}